(1)
# GGA+U Li4Mn2Ni3O10, optimized geometry
# Total energy = -106.620 eV/cell
data_Li4Mn2Ni3O10
_cell_length_a 5.0607
_cell_length_b 5.0765
_cell_length_c 7.6686
_cell_angle_alpha 101.17
_cell_angle_beta 108.88
_cell_angle_gamma 101.30
_symmetry_space_group_name_H-M 'P -1'
_symmetry_Int_Tables_number 2
loop_
_symmetry_equiv_pos_as_xyz
'x,y,z'
'-x,-y,-z'
loop_
_atom_site_label
_atom_site_type_symbol
_atom_site_fract_x
_atom_site_fract_y
_atom_site_fract_z
Li1 Li 0.0834 0.2693 0.0918
Li2 Li 0.3040 0.8911 0.2741
Mn1 Mn 0.3005 0.4018 0.8082
Ni1 Ni 0.1061 0.8054 0.6033
Ni2 Ni 0.5000 0.5000 0.5000
O1 O 0.0801 0.5504 0.3481
O2 O 0.0951 0.0672 0.8314
O3 O 0.2999 0.1784 0.5657
O4 O 0.3173 0.6128 0.0453
O5 O 0.4816 0.7179 0.7278

(2)
# GGA+U Li4MnNi5P6O24, optimized geometry
# Total energy = -254.835 eV/cell
data_Li4MnNi5P6O24
_cell_length_a 8.2939
_cell_length_b 8.3537
_cell_length_c 8.6008
_cell_angle_alpha 118.17
_cell_angle_beta 92.52
_cell_angle_gamma 117.33
_symmetry_space_group_name_H-M 'P 1'
_symmetry_Int_Tables_number 1
loop_
_symmetry_equiv_pos_as_xyz
'x,y,z'
loop_
_atom_site_label
_atom_site_type_symbol
_atom_site_fract_x
_atom_site_fract_y
_atom_site_fract_z
Li1 Li 0.0000 0.0000 0.0000
Li2 Li 0.1455 0.6401 0.5296
Li3 Li 0.3166 0.2270 0.6007
Li4 Li 0.6736 0.6498 0.2901
Mn1 Mn 0.2687 0.4669 0.0562
Ni1 Ni 0.0464 0.8575 0.2375
Ni2 Ni 0.4282 0.1498 0.8807
Ni3 Ni 0.5578 0.8613 0.7531
Ni4 Ni 0.7725 0.4492 0.5443
Ni5 Ni 0.9125 0.1662 0.4119
P1 P 0.1666 0.6869 0.8634
P2 P 0.3407 0.3760 0.3621
P3 P 0.4842 0.9627 0.4460
P4 P 0.6461 0.6260 0.9320
P5 P 0.8598 0.3664 0.1423
P6 P 0.9694 0.9447 0.6503
O1 O 0.0084 0.3615 0.0395
O2 O 0.0150 0.4744 0.6732
O3 O 0.0874 0.8091 0.9944
O4 O 0.1760 0.1948 0.3795
O5 O 0.1858 0.1420 0.7694
O6 O 0.2670 0.2923 0.1480
O7 O 0.2756 0.6391 0.9684
O8 O 0.2991 0.9555 0.3994
O9 O 0.3086 0.8409 0.8109
O10 O 0.3488 0.5825 0.4960
O11 O 0.4713 0.7489 0.3102
O12 O 0.5184 0.4805 0.0023
O13 O 0.5184 0.6521 0.8225
O14 O 0.5252 0.0259 0.6521
O15 O 0.5363 0.4040 0.3966
O16 O 0.6566 0.1680 0.0063
O17 O 0.6576 0.1330 0.4305
O18 O 0.7010 0.4900 0.7797
O19 O 0.8107 0.8472 0.1069
O20 O 0.8388 0.9513 0.7711
O21 O 0.8647 0.5735 0.2023
O22 O 0.9089 0.9547 0.4815
O23 O 0.9116 0.3572 0.3136
O24 O 0.9656 0.7368 0.5825

(3)
# GGA+U Li4TiMn2Ni3P6O24, optimized geometry
# Total energy = -274.297 eV/cell
data_Li4TiMn2Ni3P6O24
_cell_length_a 8.5559
_cell_length_b 8.5655
_cell_length_c 8.6146
_cell_angle_alpha 118.80
_cell_angle_beta 91.01
_cell_angle_gamma 119.30
_symmetry_space_group_name_H-M 'P 1'
_symmetry_Int_Tables_number 1
loop_
_symmetry_equiv_pos_as_xyz
'x,y,z'
loop_
_atom_site_label
_atom_site_type_symbol
_atom_site_fract_x
_atom_site_fract_y
_atom_site_fract_z
Li1 Li 0.0000 0.0000 0.0000
Li2 Li 0.1158 0.5996 0.4598
Li3 Li 0.3305 0.3752 0.7023
Li4 Li 0.6523 0.6934 0.3792
Ti1 Ti 0.4250 0.2005 0.9458
Mn1 Mn 0.2860 0.5445 0.1115
Mn2 Mn 0.7561 0.4798 0.5939
Ni1 Ni 0.1096 0.7887 0.2410
Ni2 Ni 0.6254 0.7882 0.7506
Ni3 Ni 0.9100 0.2008 0.4443
P1 P 0.0243 0.9706 0.6345
P2 P 0.2254 0.6994 0.8464
P3 P 0.3008 0.2936 0.3382
P4 P 0.5242 0.0027 0.5492
P5 P 0.7065 0.6985 0.0612
P6 P 0.8280 0.2834 0.1354
O1 O 0.0263 0.4784 0.1786
O2 O 0.0296 0.1335 0.5996
O3 O 0.0498 0.5649 0.6718
O4 O 0.0929 0.8436 0.4983
O5 O 0.1525 0.1102 0.8468
O6 O 0.1614 0.3592 0.3906
O7 O 0.1681 0.6494 0.9926
O8 O 0.1875 0.0471 0.2234
O9 O 0.3095 0.9414 0.9254
O10 O 0.3737 0.8592 0.3537
O11 O 0.3784 0.6579 0.7977
O12 O 0.3944 0.3792 0.2122
O13 O 0.4517 0.1111 0.7078
O14 O 0.4682 0.4084 0.5166
O15 O 0.4902 0.4890 0.9770
O16 O 0.5559 0.8521 0.5716
O17 O 0.6625 0.2830 0.0555
O18 O 0.7039 0.8896 0.2120
O19 O 0.7073 0.1967 0.5718
O20 O 0.7527 0.7019 0.8866
O21 O 0.8124 0.0777 0.9910
O22 O 0.8130 0.3152 0.3265
O23 O 0.8239 0.7910 0.6145
O24 O 0.8357 0.6727 0.1539

Density of states at the Fermi level values (in states/eV/cell) by entry order: 7.54 11.93 0.00.